(1)
# Pu3Zn2Cu7

Pu3Zn2Cu7 after structural relaxation (PBE-GGA, the Alexandria database).

Its crystal system is trigonal.

The structure belongs to space group R-3m (No. 166, hexagonal axes); the cell edges are 5.2588, 5.2588 and 24.7455 Å and the angles 90.00°, 90.00° and 120.00°. The asymmetric unit holds Pu at (0.0000, 0.0000, 0.0000), Pu at (0.0000, 0.0000, 0.1453), Zn at (0.0000, 0.0000, 0.3316), Cu at (0.0000, 0.0000, 0.5000) and Cu at (0.0038, 0.5019, 0.0822).

(2)
# PuZn11Cu

PuZn11Cu after structural relaxation (PBE-GGA, the Alexandria database).

Its crystal system is monoclinic.

The structure belongs to space group C2/m (No. 12); the cell edges are 5.0427, 12.7355 and 6.8211 Å and the angles 90.00°, 111.19° and 90.00°. The asymmetric unit holds Pu at (0.0000, 0.0000, 0.0000), Zn at (0.0000, 0.0000, 0.5000), Zn at (0.1048, 0.3930, 0.2192), Zn at (0.1852, 0.1746, 0.3572), Zn at (0.2500, 0.2500, 0.0000) and Cu at (0.0000, 0.5000, 0.5000).

Record-wise ΔH_f (0 K) values, in eV/atom: -0.057 -0.113